1.
This record from Alexandria via LeMat-Bulk describes a crystal of RbZn3Au relaxed with PBEsol. The functional is SCAN.

Lattice parameters (Å, degrees): 6.194 6.194 6.194 90.00 90.00 90.00
Fractional positions:
Rb (0.000, 0.000, 0.000)
Zn (0.000, 0.000, 0.500)
Zn (0.000, 0.500, 0.000)
Zn (0.500, 0.000, 0.000)
Au (0.500, 0.500, 0.500)

Size of the total moment ... 0.000 μB/atom
Offset from the most stable computed form ... 1248 meV per atom
Formation energy from the elements ... 1.104 eV/atom

=====

2.
This record from Alexandria via LeMat-Bulk describes a crystal of NaCa2Au2 relaxed with PBEsol. The functional is SCAN.

Lattice parameters (Å, degrees): 7.988 7.988 3.923 90.00 90.00 90.00
Fractional positions:
Na (0.000, 0.000, 0.000)
Na (0.500, 0.500, 0.000)
Ca (0.165, 0.335, 0.500)
Ca (0.335, 0.835, 0.500)
Ca (0.665, 0.165, 0.500)
Ca (0.835, 0.665, 0.500)
Au (0.128, 0.628, 0.000)
Au (0.372, 0.128, 0.000)
Au (0.628, 0.872, 0.000)
Au (0.872, 0.372, 0.000)

Size of the total moment ... 0.000 μB/atom
DOS at the Fermi energy ... 5.0 states/eV/cell
Formation energy from the elements ... -0.769 eV/atom

=====

3.
This record from Alexandria via LeMat-Bulk describes a crystal of MgTaNi relaxed with PBEsol. The functional is SCAN.

Lattice parameters (Å, degrees): 2.823 2.823 11.614 90.00 90.00 90.00
Fractional positions:
Mg (0.000, 0.000, 0.000)
Mg (0.500, 0.500, 0.500)
Ta (0.000, 0.000, 0.706)
Ta (0.500, 0.500, 0.206)
Ni (0.000, 0.000, 0.348)
Ni (0.500, 0.500, 0.848)

Size of the total moment ... 0.000 μB/atom
Offset from the most stable computed form ... 0 meV per atom
DOS at the Fermi energy ... 6.7 states/eV/cell
Formation energy from the elements ... 0.020 eV/atom

=====

4.
This record from Alexandria via LeMat-Bulk describes a crystal of CoIr2Rh relaxed with PBEsol. The functional is SCAN.

Lattice parameters (Å, degrees): 4.558 2.661 4.589 90.00 109.39 90.00
Fractional positions:
Co (0.000, 0.000, 0.000)
Ir (0.500, 0.000, 0.500)
Ir (0.500, 0.500, 0.000)
Rh (0.000, 0.500, 0.500)

Size of the total moment ... 0.743 μB/atom
Offset from the most stable computed form ... 34 meV per atom
DOS at the Fermi energy ... 3.9 states/eV/cell
Formation energy from the elements ... 0.005 eV/atom

=====

5.
This record from Alexandria via LeMat-Bulk describes a crystal of MnAl8 relaxed with PBEsol. The functional is SCAN.

Lattice parameters (Å, degrees): 6.279 6.279 6.279 95.34 95.34 144.47
Fractional positions:
Mn (0.000, 0.000, 0.000)
Al (0.000, 0.324, 0.324)
Al (0.000, 0.676, 0.676)
Al (0.324, 0.000, 0.324)
Al (0.342, 0.342, 0.683)
Al (0.342, 0.658, 0.000)
Al (0.658, 0.342, 0.000)
Al (0.658, 0.658, 0.317)
Al (0.676, 0.000, 0.676)

Size of the total moment ... 0.339 μB/atom
DOS at the Fermi energy ... 4.0 states/eV/cell
Formation energy from the elements ... -0.092 eV/atom

=====

6.
This record from Alexandria via LeMat-Bulk describes a crystal of TlCrW2 relaxed with PBEsol. The functional is SCAN.

Lattice parameters (Å, degrees): 3.235 3.235 6.183 90.00 90.00 90.00
Fractional positions:
Tl (0.000, 0.000, 0.000)
Cr (0.500, 0.500, 0.727)
W (0.000, 0.000, 0.525)
W (0.500, 0.500, 0.301)

Size of the total moment ... 0.001 μB/atom
Offset from the most stable computed form ... 0 meV per atom
DOS at the Fermi energy ... 2.5 states/eV/cell
Formation energy from the elements ... 0.641 eV/atom

=====

7.
This record from Alexandria via LeMat-Bulk describes a crystal of LaTeCl relaxed with PBEsol. The functional is SCAN.

Lattice parameters (Å, degrees): 7.883 4.464 9.295 90.00 90.00 90.00
Fractional positions:
La (0.236, 0.250, 0.132)
La (0.264, 0.750, 0.632)
La (0.736, 0.250, 0.368)
La (0.764, 0.750, 0.868)
Te (0.037, 0.750, 0.332)
Te (0.463, 0.250, 0.832)
Te (0.537, 0.750, 0.168)
Te (0.963, 0.250, 0.668)
Cl (0.136, 0.750, 0.940)
Cl (0.364, 0.250, 0.440)
Cl (0.636, 0.750, 0.560)
Cl (0.864, 0.250, 0.060)

Size of the total moment ... 0.000 μB/atom
ΔE_f (raw) ... -215.3 kJ per mole of atoms
Offset from the most stable computed form ... 0 meV per atom

=====

8.
This record from Alexandria via LeMat-Bulk describes a crystal of Ta2NbOs relaxed with PBEsol. The functional is SCAN.

Lattice parameters (Å, degrees): 6.399 6.399 6.399 90.00 90.00 90.00
Fractional positions:
Ta (0.250, 0.250, 0.250)
Ta (0.250, 0.250, 0.750)
Ta (0.250, 0.750, 0.250)
Ta (0.250, 0.750, 0.750)
Ta (0.750, 0.250, 0.250)
Ta (0.750, 0.250, 0.750)
Ta (0.750, 0.750, 0.250)
Ta (0.750, 0.750, 0.750)
Nb (0.000, 0.000, 0.000)
Nb (0.000, 0.500, 0.500)
Nb (0.500, 0.000, 0.500)
Nb (0.500, 0.500, 0.000)
Os (0.000, 0.000, 0.500)
Os (0.000, 0.500, 0.000)
Os (0.500, 0.000, 0.000)
Os (0.500, 0.500, 0.500)

Size of the total moment ... 0.000 μB/atom
DOS at the Fermi energy ... 8.2 states/eV/cell
Formation energy from the elements ... -0.398 eV/atom

=====

9.
This record from Alexandria via LeMat-Bulk describes a crystal of LaScTa relaxed with PBEsol. The functional is SCAN.

Lattice parameters (Å, degrees): 5.120 5.120 3.148 90.00 90.00 120.00
Fractional positions:
La (0.000, 0.000, 0.000)
Sc (0.333, 0.667, 0.500)
Ta (0.667, 0.333, 0.500)

Size of the total moment ... 0.000 μB/atom
DOS at the Fermi energy ... 3.6 states/eV/cell
Formation energy from the elements ... 0.458 eV/atom

=====

10.
This record from Alexandria via LeMat-Bulk describes a crystal of Sr3Ir2O7 relaxed with PBEsol. The functional is SCAN.

Lattice parameters (Å, degrees): 3.925 3.925 10.584 100.03 100.03 91.58
Fractional positions:
Sr (0.000, 0.000, 0.000)
Sr (0.193, 0.193, 0.370)
Sr (0.807, 0.807, 0.630)
Ir (0.401, 0.401, 0.801)
Ir (0.599, 0.599, 0.199)
O (0.101, 0.645, 0.194)
O (0.305, 0.305, 0.605)
O (0.355, 0.899, 0.806)
O (0.500, 0.500, 0.000)
O (0.645, 0.101, 0.194)
O (0.695, 0.695, 0.395)
O (0.899, 0.355, 0.806)

Size of the total moment ... 0.152 μB/atom
ΔE_f (raw) ... -191.2 kJ per mole of atoms
Offset from the most stable computed form ... 40 meV per atom
DOS at the Fermi energy ... 6.0 states/eV/cell

=====

11.
This record from Alexandria via LeMat-Bulk describes a crystal of Sb2MoSe relaxed with PBEsol. The functional is SCAN.

Lattice parameters (Å, degrees): 3.202 3.202 8.170 90.00 90.00 90.00
Fractional positions:
Sb (0.000, 0.000, 0.000)
Sb (0.500, 0.500, 0.323)
Mo (0.500, 0.500, 0.777)
Se (0.000, 0.000, 0.620)

Size of the total moment ... 0.000 μB/atom
ΔE_f (raw) ... 10.1 kJ per mole of atoms
DOS at the Fermi energy ... 1.5 states/eV/cell

=====

12.
This record from Alexandria via LeMat-Bulk describes a crystal of LiSc relaxed with PBEsol. The functional is SCAN.

Lattice parameters (Å, degrees): 3.658 4.993 9.807 90.00 90.00 90.00
Fractional positions:
Li (0.000, 0.250, 0.119)
Li (0.000, 0.750, 0.881)
Li (0.500, 0.250, 0.881)
Li (0.500, 0.750, 0.119)
Sc (0.000, 0.250, 0.623)
Sc (0.000, 0.750, 0.377)
Sc (0.500, 0.250, 0.377)
Sc (0.500, 0.750, 0.623)

Size of the total moment ... 0.024 μB/atom
Offset from the most stable computed form ... 16 meV per atom
DOS at the Fermi energy ... 7.2 states/eV/cell
Formation energy from the elements ... 0.107 eV/atom

=====

Number 1: E_tot -24.984 eV per atom. Number 2: E_tot -33.140 eV per atom. Number 3: E_tot -29.224 eV per atom. Number 4: E_tot -48.314 eV per atom. Number 5: E_tot -9.010 eV per atom. Number 6: E_tot -56.889 eV per atom. Number 7: E_tot -31.676 eV per atom. Number 8: E_tot -59.942 eV per atom. Number 9: E_tot -40.851 eV per atom. Number 10: E_tot -23.035 eV per atom. Number 11: E_tot -32.266 eV per atom. Number 12: E_tot -8.207 eV per atom.